Record 1
Compound: Y2ZnOs
Source: Alexandria
Functional: GGA-PBEsol
Structure: optimized geometry

It has space group C2/m (No. 12), with a = 7.464 Å, b = 3.352 Å, c = 7.425 Å, α = 90.00°, β = 99.80° and γ = 90.00°. Symmetry generates all atoms from Y at (0.246, 0.000, 0.219), Zn at (0.000, 0.000, 0.500) and Os at (0.000, 0.500, 0.000).

As for the crystal system: monoclinic.

Record 2
Compound: Y2ZnOs
Source: Alexandria
Functional: GGA-PBEsol
Structure: optimized geometry

It has space group P4/mmm (No. 123), with a = 4.811 Å, b = 4.811 Å, c = 3.464 Å, α = 90.00°, β = 90.00° and γ = 90.00°. Symmetry generates all atoms from Y at (0.000, 0.500, 0.000), Zn at (0.000, 0.000, 0.500) and Os at (0.500, 0.500, 0.500).

As for the crystal system: tetragonal.

Record 3
Compound: Y2ZnOs
Source: Alexandria
Functional: GGA-PBEsol
Structure: optimized geometry

It has space group R3m (No. 160, hexagonal axes), with a = 3.3417 Å, b = 3.3417 Å, c = 27.4149 Å, α = 90.00°, β = 90.00° and γ = 120.00°. Symmetry generates all atoms from Y at (0.0000, 0.0000, 0.0000), Y at (0.0000, 0.0000, 0.2157), Zn at (0.0000, 0.0000, 0.7487) and Os at (0.0000, 0.0000, 0.4767).

As for the crystal system: trigonal.

Record 4
Compound: Y2ZnOs
Source: Alexandria
Functional: GGA-PBEsol
Structure: optimized geometry

It has space group Imm2 (No. 44), with a = 3.354 Å, b = 4.753 Å, c = 10.421 Å, α = 90.00°, β = 90.00° and γ = 90.00°. Symmetry generates all atoms from Y at (0.000, 0.000, 0.000), Y at (0.000, 0.500, 0.207), Zn at (0.000, 0.500, 0.791) and Os at (0.000, 0.000, 0.478).

As for the crystal system: orthorhombic.

Record 5
Compound: YZn4Os
Source: Alexandria
Functional: GGA-PBEsol
Structure: optimized geometry

It has space group F-43m (No. 216), with a = 7.109 Å, b = 7.109 Å, c = 7.109 Å, α = 90.00°, β = 90.00° and γ = 90.00°. Symmetry generates all atoms from Y at (0.000, 0.000, 0.000), Zn at (0.124, 0.124, 0.624) and Os at (0.250, 0.250, 0.250).

As for the crystal system: cubic.

Record 6
Compound: Y2ZnOs
Source: Alexandria
Functional: GGA-PBEsol
Structure: optimized geometry

It has space group R-3m (No. 166, hexagonal axes), with a = 3.4903 Å, b = 3.4903 Å, c = 25.2154 Å, α = 90.00°, β = 90.00° and γ = 120.00°. Symmetry generates all atoms from Y at (0.0000, 0.0000, 0.2435), Zn at (0.0000, 0.0000, 0.0000) and Os at (0.0000, 0.0000, 0.5000).

As for the crystal system: trigonal.

Record 7
Compound: YZn2Os2
Source: Alexandria
Functional: GGA-PBEsol
Structure: optimized geometry

It has space group P4/mmm (No. 123), with a = 4.661 Å, b = 4.661 Å, c = 4.728 Å, α = 90.00°, β = 90.00° and γ = 90.00°. Symmetry generates all atoms from Y at (0.000, 0.000, 0.000), Zn at (0.000, 0.500, 0.500), Os at (0.500, 0.500, 0.000) and Os at (0.500, 0.500, 0.500).

As for the crystal system: tetragonal.

Record 8
Compound: Y2ZnOs
Source: Alexandria
Functional: GGA-PBEsol
Structure: optimized geometry

It has space group Amm2 (No. 38), with a = 4.285 Å, b = 3.824 Å, c = 10.464 Å, α = 90.00°, β = 90.00° and γ = 90.00°. Symmetry generates all atoms from Y at (0.000, 0.000, 0.000), Y at (0.500, 0.000, 0.283), Zn at (0.000, 0.000, 0.709) and Os at (0.500, 0.000, 0.570).

As for the crystal system: orthorhombic.

Record 9
Compound: YZrOs2
Source: Alexandria
Functional: GGA-PBEsol
Structure: optimized geometry

It has space group F-43m (No. 216), with a = 6.515 Å, b = 6.515 Å, c = 6.515 Å, α = 90.00°, β = 90.00° and γ = 90.00°. Symmetry generates all atoms from Y at (0.000, 0.000, 0.000), Zr at (0.250, 0.250, 0.750), Os at (0.000, 0.000, 0.500) and Os at (0.250, 0.250, 0.250).

As for the crystal system: cubic.

Record 10
Compound: YZrOs4
Source: Alexandria
Functional: GGA-PBEsol
Structure: optimized geometry

It has space group F-43m (No. 216), with a = 7.420 Å, b = 7.420 Å, c = 7.420 Å, α = 90.00°, β = 90.00° and γ = 90.00°. Symmetry generates all atoms from Y at (0.000, 0.000, 0.000), Zr at (0.250, 0.250, 0.750) and Os at (0.125, 0.125, 0.375).

As for the crystal system: cubic.

Record 11
Compound: YZrOs2
Source: Alexandria
Functional: GGA-PBEsol
Structure: optimized geometry

It has space group P4mm (No. 99), with a = 2.897 Å, b = 2.897 Å, c = 8.958 Å, α = 90.00°, β = 90.00° and γ = 90.00°. Symmetry generates all atoms from Y at (0.000, 0.000, 0.000), Zr at (0.500, 0.500, 0.333), Os at (0.000, 0.000, 0.573) and Os at (0.500, 0.500, 0.751).

As for the crystal system: tetragonal.

Record 12
Compound: Y2ZrOs
Source: Alexandria
Functional: GGA-PBEsol
Structure: optimized geometry

It has space group I4/mmm (No. 139), with a = 4.133 Å, b = 4.133 Å, c = 9.972 Å, α = 90.00°, β = 90.00° and γ = 90.00°. Symmetry generates all atoms from Y at (0.000, 0.500, 0.250), Zr at (0.000, 0.000, 0.000) and Os at (0.000, 0.000, 0.500).

As for the crystal system: tetragonal.

Number 1: DFT formation energy 0.078 eV per atom. Number 2: DFT formation energy -0.234 eV per atom. Number 3: DFT formation energy 0.311 eV per atom. Number 4: DFT formation energy -0.115 eV per atom. Number 5: DFT formation energy -0.214 eV per atom. Number 6: DFT formation energy 0.106 eV per atom. Number 7: DFT formation energy 0.585 eV per atom. Number 8: DFT formation energy -0.216 eV per atom. Number 9: DFT formation energy 0.102 eV per atom. Number 10: DFT formation energy -0.276 eV per atom. Number 11: DFT formation energy 0.092 eV per atom. Number 12: DFT formation energy 0.188 eV per atom.